VP2AuCl after structural relaxation, computed with PBE.

Computed properties:
Its energy above the lowest structure with this stoichiometry is 0 meV per atom. As for the symmetry: P4/mmm, No. 123. Its formation energy (no corrections) is 1.55 eV per formula unit. As for the uncorrected energy: -23.51 eV/cell. As for the magnetic moment: 0.00 μB/cell.

Unit cell a=4.651 b=4.651 c=4.484 alpha=90.00 beta=90.00 gamma=90.00
Sites, in units of the cell vectors:
P1 0.000 0.500 0.000
P2 0.500 0.000 0.000
Cl1 0.000 0.000 0.500
Au1 0.500 0.500 0.500
V1 0.000 0.000 0.000